## TeAs2BrN (PBEsol)

Data for crystalline TeAs2BrN at its relaxed geometry.

Computed properties:
uncorrected formation energy = 792 meV per atom
DOS at the Fermi energy = 4.432 states/eV/f.u.
DFT total energy = -20.18 eV/cell

Cell: 4.596 4.596 4.344 Å, 90.00 90.00 90.00°
Space group P4/mmm (No. 123)
Unique sites:
Te1 0.000 0.000 0.000 [1 per cell]
As1 0.000 0.500 0.500 [2 per cell]
Br1 0.500 0.500 0.000 [1 per cell]
N1 0.500 0.500 0.500 [1 per cell]